The following is a PBE-GGA calculation of a relaxed structure of Y2Be3Cu12Au, from the Alexandria database.

abc: 7.5011 7.5011 7.5011
angles: 59.23 59.23 59.23
Closest atoms and distances in Å follow each position.
Positions (direct):
Y 0.1020 0.1020 0.1020  6 Cu 2.77-2.85
Y 0.8980 0.8980 0.8980  6 Cu 2.77-2.85
Be 0.0000 0.5000 0.5000  6 Cu 2.08-2.17
Be 0.5000 0.0000 0.5000  6 Cu 2.08-2.17
Be 0.5000 0.5000 0.0000  6 Cu 2.08-2.17
Cu 0.0799 0.6351 0.6351  1 Be 2.17
Cu 0.1605 0.1605 0.6086  2 Be 2.08
Cu 0.1605 0.6086 0.1605  2 Be 2.08
Cu 0.3649 0.3649 0.9201  1 Be 2.17
Cu 0.3649 0.9201 0.3649  1 Be 2.17
Cu 0.3914 0.8395 0.8395  2 Be 2.08
Cu 0.6086 0.1605 0.1605  2 Be 2.08
Cu 0.6351 0.0799 0.6351  1 Be 2.17
Cu 0.6351 0.6351 0.0799  1 Be 2.17
Cu 0.8395 0.3914 0.8395  2 Be 2.08
Cu 0.8395 0.8395 0.3914  2 Be 2.08
Cu 0.9201 0.3649 0.3649  1 Be 2.17
Au 0.5000 0.5000 0.5000  6 Cu 2.55

Summary:
formation energy = 0.32 eV/atom
electronic total energy = -3.93 eV/atom
D(E_F) = 0.401 states/eV per atom